Model a:
Entry from the Alexandria database: LiCo3C after structural relaxation (PBE).

```
data_LiCo3C
_cell_length_a 3.727
_cell_length_b 3.727
_cell_length_c 3.727
_cell_angle_alpha 90.00
_cell_angle_beta 90.00
_cell_angle_gamma 90.00
_symmetry_space_group_name_H-M 'P 1'
_symmetry_Int_Tables_number 1
loop_
_symmetry_equiv_pos_as_xyz
'x,y,z'
loop_
_atom_site_label
_atom_site_type_symbol
_atom_site_fract_x
_atom_site_fract_y
_atom_site_fract_z
C1 C 0.000 0.000 0.000
Co1 Co 0.000 0.500 0.000
Co2 Co 0.000 0.000 0.500
Co3 Co 0.500 0.000 0.000
Li1 Li 0.500 0.500 0.500
```

Results
* calculated volume: 10.4 Å³/atom


Model b:
Entry from the Alexandria database: LiCo3C after structural relaxation (PBE).

```
data_LiCo3C
_cell_length_a 3.826
_cell_length_b 3.826
_cell_length_c 3.826
_cell_angle_alpha 90.00
_cell_angle_beta 90.00
_cell_angle_gamma 90.00
_symmetry_space_group_name_H-M 'P 1'
_symmetry_Int_Tables_number 1
loop_
_symmetry_equiv_pos_as_xyz
'x,y,z'
loop_
_atom_site_label
_atom_site_type_symbol
_atom_site_fract_x
_atom_site_fract_y
_atom_site_fract_z
C1 C 0.500 0.500 0.500
Co1 Co 0.000 0.500 0.000
Co2 Co 0.000 0.000 0.500
Co3 Co 0.500 0.000 0.000
Li1 Li 0.000 0.000 0.000
```

Results
* calculated volume: 11.2 Å³/atom


model b is the least stable structure shown above.